# TbBeTl

A relaxed structure of TbBeTl (PBE-GGA, OQMD via LeMat-Bulk).

a = 4.7055 Å, b = 4.7055 Å, c = 4.7055 Å
α = 60.00°, β = 60.00°, γ = 60.00°
Sites, in units of the cell vectors:
Tl: 0.0000 0.0000 0.0000
Tb: 0.7500 0.7500 0.7500
Be: 0.2500 0.2500 0.2500

Calculated values
total magnetization = 0.000 μB per cell
calculated total energy = -0.2459 Ry/atom


# TlGa2Mo

A relaxed structure of TlGa2Mo (PBE-GGA, OQMD via LeMat-Bulk).

a = 4.8538 Å, b = 4.8538 Å, c = 4.8538 Å
α = 60.00°, β = 60.00°, γ = 60.00°
Sites, in units of the cell vectors:
Ga: 0.5000 0.5000 0.5000
Ga: 0.2500 0.2500 0.2500
Tl: 0.7500 0.7500 0.7500
Mo: 0.0000 0.0000 0.0000

Calculated values
total magnetization = 2.468 μB per cell
calculated total energy = -0.3018 Ry/atom


# ScCoSb2

A relaxed structure of ScCoSb2 (PBE-GGA, OQMD via LeMat-Bulk).

a = 3.9723 Å, b = 6.1499 Å, c = 6.9044 Å
α = 90.00°, β = 90.00°, γ = 90.00°
Sites, in units of the cell vectors:
Sb: 0.5000 0.1012 0.0984
Sb: 0.5000 0.5103 0.3908
Sb: 0.0000 0.8988 0.5984
Sb: 0.0000 0.4897 0.8908
Sc: 0.0000 0.7812 0.1959
Sc: 0.5000 0.2188 0.6959
Co: 0.5000 0.7622 0.8149
Co: 0.0000 0.2378 0.3149

Calculated values
total magnetization = 1.144 μB per cell
calculated total energy = -0.4227 Ry/atom


# CsHfCdAu

A relaxed structure of CsHfCdAu (PBE-GGA, OQMD via LeMat-Bulk).

a = 5.3951 Å, b = 5.3951 Å, c = 5.3951 Å
α = 60.00°, β = 60.00°, γ = 60.00°
Sites, in units of the cell vectors:
Cs: 0.0000 0.0000 0.0000
Hf: 0.5000 0.5000 0.5000
Cd: 0.2500 0.2500 0.2500
Au: 0.7500 0.7500 0.7500

Calculated values
offset from the most stable computed form = 0.0107 eV per atom
total magnetization = 0.020 μB per cell


# Zr2AgSn2

A relaxed structure of Zr2AgSn2 (PBE-GGA, OQMD via LeMat-Bulk).

a = 7.1158 Å, b = 7.1158 Å, c = 7.1158 Å
α = 142.97°, β = 142.97°, γ = 53.38°
Sites, in units of the cell vectors:
Sn: 0.6058 0.6058 0.0000
Sn: 0.3942 0.3942 0.0000
Zr: 0.7500 0.2500 0.5000
Zr: 0.2500 0.7500 0.5000
Ag: 0.0000 0.0000 0.0000

Calculated values
offset from the most stable computed form = 0.1084 eV per atom
total magnetization = 0.002 μB per cell


# PrNpRe

A relaxed structure of PrNpRe (PBE-GGA, OQMD via LeMat-Bulk).

a = 4.8296 Å, b = 4.8296 Å, c = 4.8296 Å
α = 60.00°, β = 60.00°, γ = 60.00°
Sites, in units of the cell vectors:
Pr: 0.5000 0.5000 0.5000
Np: 0.0000 0.0000 0.0000
Re: 0.2500 0.2500 0.2500

Calculated values
offset from the most stable computed form = 0.0000 eV per atom
total magnetization = 3.656 μB per cell
energy relative to the elements = 0.65 eV/atom


# CuBiPF

A relaxed structure of CuBiPF (PBE-GGA, OQMD via LeMat-Bulk).

a = 10.4046 Å, b = 10.4046 Å, c = 10.4046 Å
α = 22.08°, β = 22.08°, γ = 22.08°
Sites, in units of the cell vectors:
Cu: 0.8081 0.8081 0.8081
Cu: 0.1919 0.1919 0.1919
P: 0.1156 0.1156 0.1156
P: 0.8844 0.8844 0.8844
Bi: 0.6036 0.6036 0.6036
Bi: 0.3964 0.3964 0.3964
F: 0.3058 0.3058 0.3058
F: 0.6942 0.6942 0.6942

Calculated values
offset from the most stable computed form = 0.0000 eV per atom


# InIrI6

A relaxed structure of InIrI6 (PBE-GGA, OQMD via LeMat-Bulk).

a = 7.2673 Å, b = 7.2673 Å, c = 7.4102 Å
α = 99.02°, β = 99.02°, γ = 119.97°
Sites, in units of the cell vectors:
Ir: 0.1665 0.8335 0.0000
I: 0.5422 0.9116 0.2246
I: 0.2296 0.2002 0.2263
I: 0.7998 0.7704 0.7737
I: 0.0884 0.4578 0.7754
I: 0.3998 0.0598 0.7771
I: 0.9402 0.6002 0.2229
In: 0.8335 0.1665 0.0000

Calculated values
total magnetization = 0.002 μB per cell
calculated total energy = -0.2146 Ry/atom


# NaYSiNi

A relaxed structure of NaYSiNi (PBE-GGA, OQMD via LeMat-Bulk).

a = 4.6387 Å, b = 4.6387 Å, c = 4.6387 Å
α = 60.00°, β = 60.00°, γ = 60.00°
Sites, in units of the cell vectors:
Ni: 0.5000 0.5000 0.5000
Si: 0.2500 0.2500 0.2500
Y: 0.0000 0.0000 0.0000
Na: 0.7500 0.7500 0.7500

Calculated values
offset from the most stable computed form = 0.1147 eV per atom
total magnetization = 0.002 μB per cell


# RbNaNiW

A relaxed structure of RbNaNiW (PBE-GGA, OQMD via LeMat-Bulk).

a = 4.8297 Å, b = 4.8297 Å, c = 4.8297 Å
α = 60.00°, β = 60.00°, γ = 60.00°
Sites, in units of the cell vectors:
Na: 0.7500 0.7500 0.7500
W: 0.2500 0.2500 0.2500
Rb: 0.5000 0.5000 0.5000
Ni: 0.0000 0.0000 0.0000

Calculated values
offset from the most stable computed form = 0.0067 eV per atom
total magnetization = 0.004 μB per cell


# Tb11O20

A relaxed structure of Tb11O20 (PBE-GGA, OQMD via LeMat-Bulk).

a = 6.5064 Å, b = 6.6148 Å, c = 10.1017 Å
α = 95.05°, β = 91.95°, γ = 98.84°
Sites, in units of the cell vectors:
O: 0.8475 0.0552 0.4344
O: 0.8760 0.3344 0.0388
O: 0.1240 0.6656 0.9612
O: 0.9647 0.5728 0.6303
O: 0.5283 0.4095 0.8717
O: 0.6279 0.6730 0.4601
O: 0.7956 0.7797 0.8395
O: 0.2884 0.8006 0.3290
O: 0.2044 0.2203 0.1605
O: 0.6672 0.9637 0.0700
O: 0.5423 0.1842 0.2972
O: 0.3328 0.0363 0.9300
O: 0.0389 0.1646 0.7979
O: 0.9611 0.8354 0.2021
O: 0.4717 0.5905 0.1283
O: 0.7116 0.1994 0.6710
O: 0.1525 0.9448 0.5656
O: 0.0353 0.4272 0.3697
O: 0.4577 0.8158 0.7028
O: 0.3721 0.3270 0.5399
Tb: 0.4681 0.7336 0.9216
Tb: 0.1258 0.5493 0.1714
Tb: 0.8178 0.8862 0.6314
Tb: 0.2716 0.6374 0.5207
Tb: 0.3680 0.1448 0.7226
Tb: 0.5319 0.2664 0.0784
Tb: 0.0000 0.0000 0.0000
Tb: 0.6320 0.8552 0.2774
Tb: 0.7284 0.3626 0.4793
Tb: 0.8742 0.4507 0.8286
Tb: 0.1822 0.1138 0.3686

Calculated values
offset from the most stable computed form = 0.0000 eV per atom
total magnetization = 6.991 μB per cell


# AcPuOs

A relaxed structure of AcPuOs (PBE-GGA, OQMD via LeMat-Bulk).

a = 4.7064 Å, b = 4.7064 Å, c = 4.7064 Å
α = 60.00°, β = 60.00°, γ = 60.00°
Sites, in units of the cell vectors:
Pu: 0.7500 0.7500 0.7500
Os: 0.2500 0.2500 0.2500
Ac: 0.0000 0.0000 0.0000

Calculated values
offset from the most stable computed form = 1.4921 eV per atom
total magnetization = 0.025 μB per cell
energy relative to the elements = 1.63 eV/atom


# TbEr2Mg3NiAu2

A relaxed structure of TbEr2Mg3NiAu2 (PBE-GGA, OQMD via LeMat-Bulk).

a = 4.0330 Å, b = 7.5205 Å, c = 7.5205 Å
α = 120.22°, β = 90.00°, γ = 90.00°
Sites, in units of the cell vectors:
Er: 0.0000 0.5974 0.9994
Er: 0.0000 0.9994 0.5974
Mg: 0.5000 0.7621 0.7621
Mg: 0.5000 0.2377 0.9993
Mg: 0.5000 0.9993 0.2377
Ni: 0.0000 0.9980 0.9980
Au: 0.5000 0.3325 0.6698
Au: 0.5000 0.6698 0.3325
Tb: 0.0000 0.4039 0.4039

Calculated values
total magnetization = 0.011 μB per cell
calculated total energy = -0.2902 Ry/atom


# CdPt2SO6

A relaxed structure of CdPt2SO6 (PBE-GGA, OQMD via LeMat-Bulk).

a = 6.1377 Å, b = 7.0392 Å, c = 7.1131 Å
α = 91.81°, β = 110.86°, γ = 109.50°
Sites, in units of the cell vectors:
Pt: 0.3978 0.3871 0.8329
Pt: 0.6022 0.6129 0.1671
Pt: 0.9007 0.3708 0.8431
Pt: 0.0993 0.6292 0.1569
S: 0.1933 0.0838 0.3399
S: 0.8067 0.9162 0.6601
O: 0.3906 0.7810 0.0901
O: 0.6230 0.7971 0.7397
O: 0.0599 0.9848 0.8251
O: 0.1975 0.2085 0.5130
O: 0.3770 0.2029 0.2603
O: 0.2462 0.8962 0.4115
O: 0.1474 0.5118 0.7310
O: 0.7538 0.1038 0.5885
O: 0.8526 0.4882 0.2690
O: 0.8025 0.7915 0.4870
O: 0.9401 0.0152 0.1749
O: 0.6094 0.2190 0.9099
Cd: 0.6973 0.1451 0.2478
Cd: 0.3027 0.8549 0.7522

Calculated values
total magnetization = 0.887 μB per cell
calculated total energy = -0.3990 Ry/atom


# Tc

A relaxed structure of Tc (PBE-GGA, OQMD via LeMat-Bulk).

a = 2.9641 Å, b = 2.9641 Å, c = 4.1636 Å
α = 110.85°, β = 110.85°, γ = 60.00°
Sites, in units of the cell vectors:
Tc: 0.2489 0.2489 0.7467
Tc: 0.7511 0.7511 0.2533

Calculated values
offset from the most stable computed form = 0.5484 eV per atom
total magnetization = 0.003 μB per cell
energy relative to the elements = 0.55 eV/atom


# PmTlZn

A relaxed structure of PmTlZn (PBE-GGA, OQMD via LeMat-Bulk).

a = 4.7979 Å, b = 4.7979 Å, c = 4.7979 Å
α = 60.00°, β = 60.00°, γ = 60.00°
Sites, in units of the cell vectors:
Zn: 0.0000 0.0000 0.0000
Tl: 0.7500 0.7500 0.7500
Pm: 0.2500 0.2500 0.2500

Calculated values
offset from the most stable computed form = 0.0000 eV per atom
total magnetization = 0.000 μB per cell


# U4SeS6

A relaxed structure of U4SeS6 (PBE-GGA, OQMD via LeMat-Bulk).

a = 8.3621 Å, b = 8.3621 Å, c = 3.7544 Å
α = 90.00°, β = 90.00°, γ = 120.00°
Sites, in units of the cell vectors:
S: 0.5414 0.0828 0.0000
S: 0.1973 0.3946 0.5000
S: 0.6054 0.8027 0.5000
S: 0.1973 0.8027 0.5000
S: 0.5414 0.4586 0.0000
S: 0.9172 0.4586 0.0000
U: 0.8277 0.6554 0.5000
U: 0.3445 0.1723 0.5000
U: 0.8277 0.1723 0.5000
U: 0.3333 0.6667 0.0000
Se: 0.0000 0.0000 0.0000

Calculated values
total magnetization = 9.431 μB per cell
calculated total energy = -0.5916 Ry/atom


# TcNiHgBi

A relaxed structure of TcNiHgBi (PBE-GGA, OQMD via LeMat-Bulk).

a = 4.6649 Å, b = 4.6649 Å, c = 4.6649 Å
α = 60.00°, β = 60.00°, γ = 60.00°
Sites, in units of the cell vectors:
Ni: 0.7500 0.7500 0.7500
Bi: 0.0000 0.0000 0.0000
Hg: 0.5000 0.5000 0.5000
Tc: 0.2500 0.2500 0.2500

Calculated values
offset from the most stable computed form = 0.0000 eV per atom
total magnetization = 0.073 μB per cell


# ErGeIr

A relaxed structure of ErGeIr (PBE-GGA, OQMD via LeMat-Bulk).

a = 6.8017 Å, b = 4.2783 Å, c = 7.6322 Å
α = 90.00°, β = 90.00°, γ = 90.00°
Sites, in units of the cell vectors:
Ir: 0.8385 0.7500 0.4361
Ir: 0.3385 0.7500 0.0639
Ir: 0.1615 0.2500 0.5639
Ir: 0.6615 0.2500 0.9361
Ge: 0.2893 0.2500 0.8873
Ge: 0.7893 0.2500 0.6127
Ge: 0.2107 0.7500 0.3873
Ge: 0.7107 0.7500 0.1127
Er: 0.5094 0.2500 0.3087
Er: 0.9906 0.7500 0.8087
Er: 0.4906 0.7500 0.6913
Er: 0.0094 0.2500 0.1913

Calculated values
total magnetization = 0.002 μB per cell
calculated total energy = -0.5116 Ry/atom